{
  "formula": "Mn2As3",
  "functional": "GGA-PBEsol",
  "state": "relaxed",
  "total_magnetization_mub_per_fu": 4.925,
  "formation_enthalpy_0k_ev_per_atom": 0.0178,
  "n_ef_per_ev_cell": 2.385,
  "lattice": [[3.3404, 0.0000, 0.0000], [1.6702, 2.8929, 0.0000], [1.6702, 0.9643, 8.2659]],
  "species": ["As", "As", "As", "Mn", "Mn"],
  "fractional_positions": [[0.0000, 0.0000, 0.0000], [0.2113, 0.2113, 0.3660], [0.7887, 0.7887, 0.6340], [0.6046, 0.6046, 0.1861], [0.3954, 0.3954, 0.8139]]
}